This record from Alexandria describes a relaxed structure of VPbN2. The functional is GGA-PBE.

Lattice parameters (Å, degrees): 6.5804 6.5804 6.5804 30.35 30.35 30.35
With the nearest neighbours (Å) after each atom.
Element x y z (fractional)
N (0.9021, 0.9021, 0.9021)  1 V 1.84
V (0.0000, 0.0000, 0.0000)  2 N 1.84
N (0.0979, 0.0979, 0.0979)  1 V 1.84
Pb (0.5000, 0.5000, 0.5000)  6 N 2.37

Summary:
space group = R-3m (166)
E = -6.60 eV/atom
formation energy from raw total energies = 0.7649 eV/atom

***

This record from Alexandria describes a relaxed structure of V2PbWN. The functional is GGA-PBE.

Lattice parameters (Å, degrees): 3.9636 5.1066 3.9636 90.00 90.00 90.00
With the nearest neighbours (Å) after each atom.
Element x y z (fractional)
V (0.0000, 0.0000, 0.5000)  2 N 1.98
Pb (0.0000, 0.5000, 0.0000)  2 N 2.55, 4 W 2.80
V (0.5000, 0.0000, 0.0000)  2 N 1.98
N (0.0000, 0.0000, 0.0000)  4 V 1.98
W (0.5000, 0.5000, 0.5000)  4 Pb 2.80

Summary:
space group = P4/mmm (123)
E = -8.25 eV/atom
formation energy from raw total energies = 0.3987 eV/atom

***

This record from Alexandria describes a relaxed structure of Y2VPbN. The functional is GGA-PBE.

Lattice parameters (Å, degrees): 4.6597 5.2019 4.6597 90.00 90.00 90.00
With the nearest neighbours (Å) after each atom.
Element x y z (fractional)
Y (0.5000, 0.0000, 0.0000)  2 N 2.33
V (0.5000, 0.5000, 0.5000)  4 Pb 3.29, 8 Y 3.49
Pb (0.0000, 0.5000, 0.0000)  2 N 2.60
Y (0.0000, 0.0000, 0.5000)  2 N 2.33
N (0.0000, 0.0000, 0.0000)  4 Y 2.33, 2 Pb 2.60

Summary:
space group = P4/mmm (123)
E = -6.99 eV/atom
formation energy from raw total energies = -0.1714 eV/atom

***

This record from Alexandria describes a relaxed structure of Y2VPbN. The functional is GGA-PBE.

Lattice parameters (Å, degrees): 4.9839 4.9839 4.0144 90.00 90.00 90.00
With the nearest neighbours (Å) after each atom.
Element x y z (fractional)
Pb (0.5000, 0.5000, 0.5000)  8 Y 3.20, 4 V 3.52
V (0.0000, 0.0000, 0.5000)  2 N 2.01
Y (0.5000, 0.0000, 0.0000)  2 N 2.49
N (0.0000, 0.0000, 0.0000)  2 V 2.01
Y (0.0000, 0.5000, 0.0000)  2 N 2.49

Summary:
space group = P4/mmm (123)
E = -7.54 eV/atom
formation energy from raw total energies = -0.7274 eV/atom